A relaxed Sc2BeHg crystal, computed with PBE.

Cell: 4.114 4.114 9.088 Å, 90.00 90.00 90.00°
Space group I-4m2 (No. 119)
One atom of each set of equivalent atoms:
Sc 0.000 0.000 0.000
Sc 0.000 0.500 0.250
Be 0.000 0.500 0.750
Hg 0.000 0.000 0.500

Computed properties:
Energy above the most stable polymorph in this dataset, meV per atom: 277
E_form, eV per atom: 0.04



A relaxed TlNiSe2N crystal, computed with PBE.

Cell: 5.460 5.460 4.214 Å, 90.00 90.00 90.00°
Space group P4/mmm (No. 123)
One atom of each set of equivalent atoms:
Tl 0.000 0.000 0.000
Ni 0.500 0.500 0.500
Se 0.000 0.500 0.000
N 0.000 0.000 0.500

Computed properties:
Formation energy from raw total energies, eV per atom: 1.60
Energy above the most stable polymorph in this dataset, meV per atom: 1217



A relaxed LaMgSeBr2 crystal, computed with PBE.

Cell: 5.094 5.094 5.264 Å, 90.00 90.00 90.00°
Space group P4/mmm (No. 123)
One atom of each set of equivalent atoms:
La 0.000 0.000 0.000
Mg 0.500 0.500 0.500
Se 0.500 0.500 0.000
Br 0.000 0.500 0.500

Computed properties:
Formation energy from raw total energies, eV per atom: -1.16
Energy above the most stable polymorph in this dataset, meV per atom: 0



A relaxed Pm4FeI2Cl crystal, computed with PBE.

Cell: 7.562 4.035 8.188 Å, 90.00 106.49 90.00°
Space group P2/m (No. 10)
One atom of each set of equivalent atoms:
Pm 0.194 0.000 0.185
Pm 0.236 0.500 0.810
Fe 0.000 0.500 0.000
I 0.000 0.000 0.500
I 0.500 0.500 0.500
Cl 0.500 0.000 0.000

Computed properties:
Formation energy from raw total energies, eV per atom: -0.79



| no. | DOS at the Fermi energy (states/eV/f.u.) |
| --- | --- |
| 1 | 4.377 |
| 2 | 6.647 |
| 3 | 5.964 |
| 4 | 4.706 |